[1]
Computed, not measured: crystalline AlSb2As at its relaxed geometry at the PBE level of DFT.

Cell: 7.1423 7.1423 7.1423 Å, 90.00 90.00 90.00°
Last column: nearest neighbours and their distance in Å.
Space group Fm-3m (No. 225)
Asymmetric unit:
Al: 0.0000 0.0000 0.0000 (multiplicity 4)  8 Sb 3.09
Sb: 0.2500 0.2500 0.2500 (multiplicity 8)  4 As 3.09, 4 Al 3.09
As: 0.0000 0.0000 0.5000 (multiplicity 4)  8 Sb 3.09


[2]
Computed, not measured: crystalline AlSbAs2 at its relaxed geometry at the PBE level of DFT.

Cell: 3.7590 5.3275 8.4740 Å, 90.00 90.00 90.00°
Last column: nearest neighbours and their distance in Å.
Space group Cmmm (No. 65)
Asymmetric unit:
Al: 0.0000 0.0000 0.0000 (multiplicity 2)  4 As 2.58
Sb: 0.0000 0.0000 0.5000 (multiplicity 2)  4 As 3.11, 4 Sb 3.26
As: 0.0000 0.5000 0.2082 (multiplicity 4)  2 Al 2.58


[3]
Computed, not measured: crystalline AlSb2As at its relaxed geometry at the PBE level of DFT.

Cell: 3.4511 3.4511 7.5866 Å, 90.00 90.00 90.00°
Last column: nearest neighbours and their distance in Å.
Space group P4mm (No. 99)
Asymmetric unit:
Al: 0.0000 0.0000 0.0000 (multiplicity 1)  4 As 2.72
Sb: 0.0000 0.0000 0.4285 (multiplicity 1)  4 As 3.19, 1 Al 3.25, 8 Sb 3.39-3.45
Sb: 0.5000 0.5000 0.7390 (multiplicity 1)  4 Al 3.14, 1 As 3.18, 8 Sb 3.39-3.45
As: 0.5000 0.5000 0.1582 (multiplicity 1)  4 Al 2.72


[4]
Computed, not measured: crystalline Al2SbAs at its relaxed geometry at the PBE level of DFT.

Cell: 5.8552 7.7617 4.7768 Å, 90.00 124.95 90.00°
Last column: nearest neighbours and their distance in Å.
Space group C2/m (No. 12)
Asymmetric unit:
Al: 0.2500 0.2500 0.0000 (multiplicity 4)  2 As 2.76, 2 Sb 2.76, 2 Al 2.93
Sb: 0.0000 0.0000 0.5000 (multiplicity 2)  4 Al 2.76, 2 As 2.93
As: 0.0000 0.5000 0.5000 (multiplicity 2)  4 Al 2.76, 2 Sb 2.93


[5]
Computed, not measured: crystalline Al2SbAs at its relaxed geometry at the PBE level of DFT.

Cell: 6.8661 6.8661 6.8661 Å, 90.00 90.00 90.00°
Last column: nearest neighbours and their distance in Å.
Space group Fm-3m (No. 225)
Asymmetric unit:
Al: 0.2500 0.2500 0.2500 (multiplicity 8)  4 As 2.97, 4 Sb 2.97
Sb: 0.0000 0.0000 0.0000 (multiplicity 4)  8 Al 2.97
As: 0.0000 0.0000 0.5000 (multiplicity 4)  8 Al 2.97


[6]
Computed, not measured: crystalline AlSb2As at its relaxed geometry at the PBE level of DFT.

Cell: 4.1098 4.1098 20.3699 Å, 90.00 90.00 120.00°
Last column: nearest neighbours and their distance in Å.
Space group R3m (No. 160, hexagonal axes)
Asymmetric unit:
Al: 0.0000 0.0000 0.0000 (multiplicity 3)  3 As 2.58
Sb: 0.0000 0.0000 0.5163 (multiplicity 3)  3 Sb 2.97, 3 As 3.13
Sb: 0.0000 0.0000 0.7623 (multiplicity 3)  3 Sb 2.97, 3 Al 3.07
As: 0.0000 0.0000 0.2830 (multiplicity 3)  3 Al 2.58


[7]
Computed, not measured: crystalline Sc2AlSbAs at its relaxed geometry at the PBE level of DFT.

Cell: 5.3319 5.3319 5.3130 Å, 90.00 90.00 90.00°
Last column: nearest neighbours and their distance in Å.
Space group P4/mmm (No. 123)
Asymmetric unit:
Sc: 0.0000 0.5000 0.0000 (multiplicity 2)  2 Sb 2.67
Al: 0.0000 0.0000 0.5000 (multiplicity 1)  8 Sc 3.76, 4 As 3.77
Sb: 0.5000 0.5000 0.0000 (multiplicity 1)  2 As 2.66, 4 Sc 2.67
As: 0.5000 0.5000 0.5000 (multiplicity 1)  2 Sb 2.66


[8]
Computed, not measured: crystalline Sr2AlSbAs at its relaxed geometry at the PBE level of DFT.

Cell: 7.5072 4.5446 9.8154 Å, 90.00 106.93 90.00°
Last column: nearest neighbours and their distance in Å.
Space group P2_1/m (No. 11)
Asymmetric unit:
Sr: 0.2057 0.2500 0.3999 (multiplicity 2)  2 As 3.08
Sr: 0.2461 0.2500 0.9856 (multiplicity 2)  3 As 3.02-3.15
Al: 0.4930 0.7500 0.2542 (multiplicity 2)  1 As 2.38
Sb: 0.3013 0.7500 0.6986 (multiplicity 2)  2 Al 2.71
As: 0.1618 0.7500 0.1806 (multiplicity 2)  1 Al 2.38


[9]
Computed, not measured: crystalline AlSbTe2As at its relaxed geometry at the PBE level of DFT.

Cell: 5.2282 5.2282 5.2955 Å, 90.00 90.00 90.00°
Last column: nearest neighbours and their distance in Å.
Space group P4/mmm (No. 123)
Asymmetric unit:
Al: 0.0000 0.0000 0.0000 (multiplicity 1)  4 Te 2.61, 2 Sb 2.65
Sb: 0.0000 0.0000 0.5000 (multiplicity 1)  2 Al 2.65
Te: 0.0000 0.5000 0.0000 (multiplicity 2)  2 Al 2.61
As: 0.5000 0.5000 0.5000 (multiplicity 1)  4 Sb 3.70, 8 Te 3.72


[10]
Computed, not measured: crystalline AlSb2TeAs at its relaxed geometry at the PBE level of DFT.

Cell: 5.3411 5.3411 5.5981 Å, 90.00 90.00 90.00°
Last column: nearest neighbours and their distance in Å.
Space group P4/mmm (No. 123)
Asymmetric unit:
Al: 0.0000 0.0000 0.0000 (multiplicity 1)  4 Te 3.78, 8 Sb 3.87
Sb: 0.0000 0.5000 0.5000 (multiplicity 2)  2 As 2.67
Te: 0.5000 0.5000 0.0000 (multiplicity 1)  2 As 2.80
As: 0.5000 0.5000 0.5000 (multiplicity 1)  4 Sb 2.67, 2 Te 2.80


[11]
Computed, not measured: crystalline AlSbTe2As at its relaxed geometry at the PBE level of DFT.

Cell: 5.5719 5.5719 5.2642 Å, 90.00 90.00 90.00°
Last column: nearest neighbours and their distance in Å.
Space group P4/mmm (No. 123)
Asymmetric unit:
Al: 0.0000 0.0000 0.0000 (multiplicity 1)  8 Te 3.83, 4 Sb 3.94
Sb: 0.5000 0.5000 0.0000 (multiplicity 1)  2 As 2.63
Te: 0.0000 0.5000 0.5000 (multiplicity 2)  2 As 2.79
As: 0.5000 0.5000 0.5000 (multiplicity 1)  2 Sb 2.63, 4 Te 2.79


[12]
Computed, not measured: crystalline AlSb2TeAs at its relaxed geometry at the PBE level of DFT.

Cell: 5.2613 5.2613 5.1865 Å, 90.00 90.00 90.00°
Last column: nearest neighbours and their distance in Å.
Space group P4/mmm (No. 123)
Asymmetric unit:
Al: 0.0000 0.0000 0.0000 (multiplicity 1)  2 Te 2.59, 4 Sb 2.63
Sb: 0.0000 0.5000 0.0000 (multiplicity 2)  2 Al 2.63
Te: 0.0000 0.0000 0.5000 (multiplicity 1)  2 Al 2.59
As: 0.5000 0.5000 0.5000 (multiplicity 1)  8 Sb 3.69, 4 Te 3.72


[13]
Computed, not measured: crystalline TiAlSb2As at its relaxed geometry at the PBE level of DFT.

Cell: 5.4581 5.4581 4.7265 Å, 90.00 90.00 90.00°
Last column: nearest neighbours and their distance in Å.
Space group P4/mmm (No. 123)
Asymmetric unit:
Ti: 0.0000 0.0000 0.0000 (multiplicity 1)  2 As 2.36
Al: 0.5000 0.5000 0.0000 (multiplicity 1)  8 Sb 3.61, 4 Ti 3.86
Sb: 0.0000 0.5000 0.5000 (multiplicity 2)  2 As 2.73
As: 0.0000 0.0000 0.5000 (multiplicity 1)  2 Ti 2.36


[14]
Computed, not measured: crystalline AlTl2SbAs at its relaxed geometry at the PBE level of DFT.

Cell: 5.5059 5.5059 5.0050 Å, 90.00 90.00 90.00°
Last column: nearest neighbours and their distance in Å.
Space group P4/mmm (No. 123)
Asymmetric unit:
Al: 0.0000 0.0000 0.0000 (multiplicity 1)  2 As 2.50
Tl: 0.0000 0.5000 0.5000 (multiplicity 2)  2 As 2.75
Sb: 0.5000 0.5000 0.0000 (multiplicity 1)  8 Tl 3.72, 4 Al 3.89
As: 0.0000 0.0000 0.5000 (multiplicity 1)  2 Al 2.50, 4 Tl 2.75


[15]
Computed, not measured: crystalline AlTlSbAs2 at its relaxed geometry at the PBE level of DFT.

Cell: 5.3114 5.3114 5.8051 Å, 90.00 90.00 90.00°
Last column: nearest neighbours and their distance in Å.
Space group P4/mmm (No. 123)
Asymmetric unit:
Al: 0.0000 0.0000 0.0000 (multiplicity 1)  4 Sb 3.76, 8 As 3.93
Tl: 0.5000 0.5000 0.5000 (multiplicity 1)  4 As 2.66, 2 Sb 2.90
Sb: 0.5000 0.5000 0.0000 (multiplicity 1)  2 Tl 2.90
As: 0.0000 0.5000 0.5000 (multiplicity 2)  2 Tl 2.66


no.,E_form (uncorrected) (eV per formula unit),uncorrected energy (eV/atom)
1,1.16,-3.869
2,0.85,-4.079
3,0.78,-3.965
4,0.46,-3.950
5,0.83,-3.857
6,0.04,-4.149
7,2.28,-4.580
8,-3.93,-3.962
9,2.95,-3.169
10,3.42,-3.272
11,2.98,-3.164
12,3.24,-3.307
13,3.23,-4.261
14,1.97,-3.056
15,5.58,-2.791